Below is a relaxed structure of La2NbRu2, with properties calculated at the PBE level.

Cell lengths 6.814, 6.814, 4.906 Å; angles 90.00, 90.00, 90.00 degrees
Element x y z (fractional)
La  0.177  0.323  0.000
La  0.323  0.823  0.000
La  0.677  0.177  0.000
La  0.823  0.677  0.000
Nb  0.000  0.000  0.500
Nb  0.500  0.500  0.500
Ru  0.139  0.639  0.500
Ru  0.361  0.139  0.500
Ru  0.639  0.861  0.500
Ru  0.861  0.361  0.500

Summary:
Space-group type = No. 127

Below is a relaxed structure of PrLuTlRh, with properties calculated at the PBE level.

Cell lengths 7.322, 7.322, 7.322 Å; angles 90.00, 90.00, 90.00 degrees
Element x y z (fractional)
Pr  0.000  0.000  0.000
Pr  0.000  0.500  0.500
Pr  0.500  0.000  0.500
Pr  0.500  0.500  0.000
Lu  0.000  0.000  0.500
Lu  0.000  0.500  0.000
Lu  0.500  0.000  0.000
Lu  0.500  0.500  0.500
Tl  0.250  0.250  0.750
Tl  0.250  0.750  0.250
Tl  0.750  0.250  0.250
Tl  0.750  0.750  0.750
Rh  0.250  0.250  0.250
Rh  0.250  0.750  0.750
Rh  0.750  0.250  0.750
Rh  0.750  0.750  0.250

Summary:
Space-group type = No. 216

Below is a relaxed structure of Hf2NbBi, with properties calculated at the PBE level.

Cell lengths 4.705, 4.705, 3.875 Å; angles 90.00, 90.00, 90.00 degrees
Element x y z (fractional)
Hf  0.000  0.500  0.000
Hf  0.500  0.000  0.000
Nb  0.000  0.000  0.500
Bi  0.500  0.500  0.500

Summary:
Space-group type = No. 123

Below is a relaxed structure of Cd3Tc, with properties calculated at the PBE level.

Cell lengths 4.206, 4.206, 8.676 Å; angles 90.00, 90.00, 90.00 degrees
Element x y z (fractional)
Cd  0.000  0.000  0.000
Cd  0.000  0.500  0.250
Cd  0.000  0.500  0.750
Cd  0.500  0.000  0.250
Cd  0.500  0.000  0.750
Cd  0.500  0.500  0.500
Tc  0.000  0.000  0.500
Tc  0.500  0.500  0.000

Summary:
Space-group type = No. 139
Energy above the lowest structure with this stoichiometry = 161 meV/atom

Below is a relaxed structure of CaDy2Al, with properties calculated at the PBE level.

Cell lengths 7.613, 7.613, 7.613 Å; angles 90.00, 90.00, 90.00 degrees
Element x y z (fractional)
Ca  0.000  0.000  0.000
Ca  0.000  0.500  0.500
Ca  0.500  0.000  0.500
Ca  0.500  0.500  0.000
Dy  0.250  0.250  0.250
Dy  0.250  0.250  0.750
Dy  0.250  0.750  0.250
Dy  0.250  0.750  0.750
Dy  0.750  0.250  0.250
Dy  0.750  0.250  0.750
Dy  0.750  0.750  0.250
Dy  0.750  0.750  0.750
Al  0.000  0.000  0.500
Al  0.000  0.500  0.000
Al  0.500  0.000  0.000
Al  0.500  0.500  0.500

Summary:
Space-group type = No. 225
Energy above the lowest structure with this stoichiometry = 96 meV/atom

Below is a relaxed structure of UIr4Au, with properties calculated at the PBE level.

Cell lengths 5.262, 5.262, 5.262 Å; angles 60.00, 60.00, 60.00 degrees
Element x y z (fractional)
U  0.000  0.000  0.000
Ir  0.375  0.375  0.375
Ir  0.375  0.375  0.874
Ir  0.375  0.874  0.375
Ir  0.874  0.375  0.375
Au  0.750  0.750  0.750

Summary:
Space-group type = No. 216

no.,ΔE_f (eV/atom)
1,-0.033
2,-0.422
3,-0.035
4,0.415
5,-0.049
6,-0.251